Compound: CaSbPt
Source: Alexandria
Functional: SCAN
Structure: single point on PBEsol structure

Computed properties:
Volume: 65.3 Å³/f.u.
Formation energy (no corrections): -1.17 eV per atom
E_tot: -40.211 eV/atom
Fermi-level density of states: 1.182 states/eV/f.u.

Unit cell a=7.283 b=4.567 c=7.857 alpha=90.00 beta=90.00 gamma=90.00
Atoms (fractional coordinates):
Ca: 0.008 0.250 0.197
Ca: 0.492 0.750 0.697
Ca: 0.508 0.250 0.303
Ca: 0.992 0.750 0.803
Sb: 0.186 0.250 0.590
Sb: 0.314 0.750 0.090
Sb: 0.686 0.250 0.910
Sb: 0.814 0.750 0.410
Pt: 0.197 0.750 0.414
Pt: 0.303 0.250 0.914
Pt: 0.697 0.750 0.086
Pt: 0.803 0.250 0.586


Compound: CsMg3S
Source: Alexandria
Functional: SCAN
Structure: single point on PBEsol structure

Computed properties:
Volume: 350.7 Å³/f.u.
Formation energy (no corrections): 1.31 eV per atom
E_tot: -11.166 eV/atom
Fermi-level density of states: 9.171 states/eV/f.u.

Unit cell a=7.052 b=7.052 c=7.052 alpha=90.00 beta=90.00 gamma=90.00
Atoms (fractional coordinates):
Cs: 0.000 0.000 0.000
Mg: 0.000 0.000 0.500
Mg: 0.000 0.500 0.000
Mg: 0.500 0.000 0.000
S: 0.500 0.500 0.500


Compound: RbBi2RuPt
Source: Alexandria
Functional: SCAN
Structure: single point on PBEsol structure

Computed properties:
Volume: 140.1 Å³/f.u.
Formation enthalpy at 0 K: 839 meV/atom
E_tot: -55.744 eV/atom
Fermi-level density of states: 3.175 states/eV/f.u.

Unit cell a=5.115 b=5.115 c=5.353 alpha=90.00 beta=90.00 gamma=90.00
Atoms (fractional coordinates):
Rb: 0.000 0.000 0.000
Bi: 0.000 0.500 0.500
Bi: 0.500 0.000 0.500
Ru: 0.000 0.000 0.500
Pt: 0.500 0.500 0.000


Compound: KRb3Mo
Source: Alexandria
Functional: SCAN
Structure: single point on PBEsol structure

Computed properties:
Volume: 376.7 Å³/f.u.
Formation enthalpy at 0 K: 918 meV/atom
E_tot: -20.169 eV/atom
Fermi-level density of states: 3.131 states/eV/f.u.

Unit cell a=7.222 b=7.222 c=7.222 alpha=90.00 beta=90.00 gamma=90.00
Atoms (fractional coordinates):
K: 0.000 0.000 0.000
Rb: 0.000 0.500 0.500
Rb: 0.500 0.000 0.500
Rb: 0.500 0.500 0.000
Mo: 0.500 0.500 0.500


Compound: CdRe2Si2
Source: Alexandria
Functional: SCAN
Structure: single point on PBEsol structure

Computed properties:
Volume: 81.6 Å³/f.u.
Formation energy (no corrections): 0.15 eV per atom
E_tot: -38.375 eV/atom
Fermi-level density of states: 2.646 states/eV/f.u.

Unit cell a=5.704 b=5.704 c=5.704 alpha=138.19 beta=138.19 gamma=60.62
Atoms (fractional coordinates):
Cd: 0.000 0.000 0.000
Re: 0.250 0.750 0.500
Re: 0.750 0.250 0.500
Si: 0.384 0.384 0.000
Si: 0.616 0.616 0.000


Compound: Ba2ZnPt
Source: Alexandria
Functional: SCAN
Structure: single point on PBEsol structure

Computed properties:
Volume: 125.6 Å³/f.u.
Formation enthalpy at 0 K: -594 meV/atom
E_tot: -41.296 eV/atom
Fermi-level density of states: 2.741 states/eV/f.u.

Unit cell a=4.512 b=6.466 c=6.466 alpha=41.76 beta=90.00 gamma=90.00
Atoms (fractional coordinates):
Ba: 0.000 0.000 0.000
Ba: 0.500 0.281 0.281
Zn: 0.500 0.588 0.588
Pt: 0.000 0.691 0.691


Compound: La2Hg
Source: Alexandria
Functional: SCAN
Structure: single point on PBEsol structure

Computed properties:
Volume: 90.7 Å³/f.u.
Formation enthalpy at 0 K: -395 meV/atom
E_tot: -51.854 eV/atom
Fermi-level density of states: 5.345 states/eV/f.u.

Unit cell a=6.256 b=6.256 c=6.256 alpha=103.52 beta=103.52 gamma=122.16
Atoms (fractional coordinates):
La: 0.154 0.654 0.809
La: 0.346 0.154 0.500
La: 0.654 0.846 0.500
La: 0.846 0.346 0.191
Hg: 0.250 0.250 0.000
Hg: 0.750 0.750 0.000


Compound: InHgRu2
Source: Alexandria
Functional: SCAN
Structure: single point on PBEsol structure

Computed properties:
Energy relative to the lowest polymorph listed for this composition: 16 meV per atom
Volume: 66.3 Å³/f.u.
Formation enthalpy at 0 K: 453 meV/atom
E_tot: -42.348 eV/atom
Fermi-level density of states: 2.692 states/eV/f.u.

Unit cell a=4.710 b=4.710 c=5.116 alpha=100.95 beta=100.95 gamma=36.59
Atoms (fractional coordinates):
In: 0.000 0.000 0.000
Hg: 0.500 0.500 0.500
Ru: 0.254 0.254 0.771
Ru: 0.746 0.746 0.229


Compound: RbBeCl2
Source: Alexandria
Functional: SCAN
Structure: single point on PBEsol structure

Computed properties:
Volume: 150.8 Å³/f.u.
Formation energy (no corrections): -0.98 eV per atom
E_tot: -11.238 eV/atom
Fermi-level density of states: 1.166 states/eV/f.u.

Unit cell a=6.716 b=6.716 c=6.716 alpha=47.53 beta=47.53 gamma=47.53
Atoms (fractional coordinates):
Rb: 0.000 0.000 0.000
Be: 0.500 0.500 0.500
Cl: 0.394 0.394 0.394
Cl: 0.606 0.606 0.606


Compound: AlGa3Pb
Source: Alexandria
Functional: SCAN
Structure: single point on PBEsol structure

Computed properties:
Energy relative to the lowest polymorph listed for this composition: 548 meV per atom
Volume: 151.2 Å³/f.u.
Formation enthalpy at 0 K: 925 meV/atom
E_tot: -25.589 eV/atom
Fermi-level density of states: 3.466 states/eV/f.u.

Unit cell a=5.327 b=5.327 c=5.327 alpha=90.00 beta=90.00 gamma=90.00
Atoms (fractional coordinates):
Al: 0.000 0.000 0.000
Ga: 0.000 0.500 0.500
Ga: 0.500 0.000 0.500
Ga: 0.500 0.500 0.000
Pb: 0.500 0.500 0.500


Compound: MnZn4
Source: Alexandria
Functional: SCAN
Structure: single point on PBEsol structure

Computed properties:
Volume: 67.4 Å³/f.u.
Formation enthalpy at 0 K: -66 meV/atom
E_tot: -14.529 eV/atom
Fermi-level density of states: 2.081 states/eV/f.u.

Unit cell a=4.617 b=4.617 c=4.617 alpha=99.81 beta=99.81 gamma=131.23
Atoms (fractional coordinates):
Mn: 0.000 0.000 0.000
Zn: 0.203 0.404 0.608
Zn: 0.404 0.797 0.201
Zn: 0.596 0.203 0.799
Zn: 0.797 0.596 0.392


Compound: BaBeSe2
Source: Alexandria
Functional: SCAN
Structure: single point on PBEsol structure

Computed properties:
Volume: 94.4 Å³/f.u.
Formation energy (no corrections): -0.07 eV per atom
E_tot: -21.081 eV/atom
Fermi-level density of states: 1.887 states/eV/f.u.

Unit cell a=5.110 b=5.110 c=5.110 alpha=60.00 beta=60.00 gamma=60.00
Atoms (fractional coordinates):
Ba: 0.000 0.000 0.000
Be: 0.750 0.750 0.750
Se: 0.250 0.250 0.250
Se: 0.500 0.500 0.500


Which of these has the lowest volume?
CaSbPt